No. 1
The following is a DFT calculation (GGA-PBE) of a relaxed La6PrDyEr2 crystal.

Geometry as POSCAR:
```
La6PrDyEr2
1.0
9.401 -2.083 -2.161
0.762 8.758 -1.990
0.762 -2.313 8.678
Dy Pr La Er
2 2 12 4
direct
0.250 0.410 0.590
0.750 0.590 0.410
0.750 0.026 0.974
0.250 0.974 0.026
0.620 0.489 0.702
0.947 0.893 0.244
0.120 0.702 0.489
0.191 0.561 0.004
0.809 0.439 0.996
0.553 0.756 0.107
0.380 0.511 0.298
0.309 0.996 0.439
0.053 0.107 0.756
0.880 0.298 0.511
0.447 0.244 0.893
0.691 0.004 0.561
0.952 0.707 0.801
0.048 0.293 0.199
0.548 0.199 0.293
0.452 0.801 0.707
```

Summary:
**Space group**: C2/c (15)
**Formation energy**: 0.104 eV per atom
**Total moment**: 0.000 μB per formula unit

=====

No. 2
The following is a DFT calculation (GGA-PBE) of a relaxed LaPr2DyEr4 crystal.

Geometry as POSCAR:
```
LaPr2DyEr4
1.0
-8.512 -5.608 -1.309
0.828 1.070 -9.894
6.259 -2.514 10.326
Dy Pr Er La
2 4 8 2
direct
0.000 0.000 0.000
0.500 0.500 0.500
0.000 0.000 0.500
0.500 0.000 0.500
0.500 0.500 0.000
0.500 0.000 0.000
0.749 0.255 0.502
0.251 0.745 0.498
0.251 0.251 0.004
0.251 0.251 0.498
0.749 0.749 0.996
0.749 0.243 0.996
0.251 0.757 0.004
0.749 0.749 0.502
0.000 0.500 0.000
0.000 0.500 0.500
```

Summary:
**Space group**: P-1 (2)
**Formation energy**: 0.020 eV per atom
**Total moment**: 0.000 μB per formula unit

=====

No. 3
The following is a DFT calculation (GGA-PBE) of a relaxed La2PrDyEr5 crystal.

Geometry as POSCAR:
```
La2PrDyEr5
1.0
-3.776 -7.392 2.317
-1.991 -1.565 -8.238
9.756 0.674 2.022
La Er Dy Pr
4 10 2 2
direct
0.118 0.382 0.000
0.382 0.882 0.000
0.882 0.618 0.000
0.618 0.118 0.000
0.855 0.928 0.283
0.500 0.500 0.000
0.428 0.355 0.283
0.645 0.145 0.717
0.572 0.645 0.717
0.000 0.000 0.000
0.145 0.072 0.717
0.355 0.855 0.283
0.928 0.428 0.283
0.072 0.572 0.717
0.750 0.750 0.500
0.250 0.250 0.500
0.250 0.750 0.500
0.750 0.250 0.500
```

Summary:
**Space group**: I4/mcm (140)
**Formation energy**: 0.250 eV per atom
**Total moment**: 0.000 μB per formula unit

=====

No. 4
The following is a DFT calculation (GGA-PBE) of a relaxed La5PrDyEr2 crystal.

Geometry as POSCAR:
```
La5PrDyEr2
1.0
-0.584 1.513 -5.268
-8.198 -7.457 1.650
-6.584 7.901 3.000
La Er Pr Dy
10 4 2 2
direct
0.720 0.440 0.199
0.279 0.559 0.318
0.000 0.000 0.508
0.280 0.560 0.699
0.500 0.000 0.758
0.500 0.000 0.258
0.378 0.755 0.008
0.000 0.000 0.008
0.721 0.441 0.818
0.622 0.245 0.508
0.113 0.225 0.760
0.887 0.775 0.260
0.888 0.776 0.756
0.112 0.224 0.256
0.785 0.570 0.509
0.215 0.430 0.009
0.600 0.200 0.008
0.400 0.800 0.508
```

Summary:
**Space group**: Cmc2_1 (36)
**Formation energy**: 0.127 eV per atom
**Total moment**: 0.000 μB per formula unit

=====

No. 5
The following is a DFT calculation (GGA-PBE) of a relaxed LaPrDyEr2 crystal.

Geometry as POSCAR:
```
LaPrDyEr2
1.0
7.213 0.000 0.000
0.000 8.468 0.000
0.000 -4.234 5.790
Dy Er La Pr
2 4 2 2
direct
0.750 0.717 0.434
0.250 0.283 0.566
0.500 0.686 0.000
0.500 0.314 0.000
0.000 0.314 0.000
0.000 0.686 0.000
0.750 0.265 0.531
0.250 0.735 0.469
0.250 0.001 0.001
0.750 0.999 0.999
```

Summary:
**Space group**: Cmcm (63)
**Formation energy**: 0.354 eV per atom
**Total moment**: 0.004 μB per formula unit

=====

No. 6
The following is a DFT calculation (GGA-PBE) of a relaxed La2Pr3DyEr6 crystal.

Geometry as POSCAR:
```
La2Pr3DyEr6
1.0
6.257 0.000 0.008
-3.127 5.419 0.008
-1.056 -1.829 11.626
Dy Pr Er La
1 3 6 2
direct
0.000 0.000 0.000
0.833 0.167 0.500
0.500 0.500 0.500
0.167 0.833 0.500
0.249 0.249 0.750
0.416 0.083 0.250
0.083 0.416 0.250
0.584 0.917 0.750
0.917 0.584 0.750
0.751 0.751 0.250
0.666 0.334 0.000
0.334 0.666 0.000
```

Summary:
**Space group**: C2/m (12)
**Formation energy**: 0.017 eV per atom
**Total moment**: 0.007 μB per formula unit

=====

No. 7
The following is a DFT calculation (GGA-PBE) of a relaxed LaPr2DyEr crystal.

Geometry as POSCAR:
```
LaPr2DyEr
1.0
-6.242 -0.805 -1.775
2.501 -5.289 -6.399
-0.731 -4.366 4.550
Er Pr Dy La
2 4 2 2
direct
0.166 0.500 0.750
0.834 0.500 0.250
0.311 0.313 0.203
0.689 0.687 0.797
0.311 0.687 0.297
0.689 0.313 0.703
0.443 0.000 0.750
0.557 0.000 0.250
0.000 0.000 0.500
0.000 0.000 0.000
```

Summary:
**Space group**: P2/c (13)
**Formation energy**: 0.274 eV per atom
**Total moment**: 0.002 μB per formula unit

=====

No. 8
The following is a DFT calculation (GGA-PBE) of a relaxed LaPrDy2Er crystal.

Geometry as POSCAR:
```
LaPrDy2Er
1.0
-6.263 -1.345 -3.333
-0.270 -7.677 3.605
-2.749 6.063 2.719
Dy Er Pr La
4 2 2 2
direct
0.000 0.314 0.000
0.500 0.314 0.000
0.500 0.686 0.000
0.000 0.686 0.000
0.250 0.282 0.565
0.750 0.718 0.435
0.250 0.999 0.999
0.750 0.001 0.001
0.250 0.735 0.470
0.750 0.265 0.530
```

Summary:
**Space group**: Cmcm (63)
**Formation energy**: 0.361 eV per atom
**Total moment**: 0.000 μB per formula unit

=====

No. 9
The following is a DFT calculation (GGA-PBE) of a relaxed La2PrDy6Er3 crystal.

Geometry as POSCAR:
```
La2PrDy6Er3
1.0
6.211 -0.001 0.003
-3.105 5.379 0.003
-1.041 -1.802 11.675
Dy Er La Pr
6 3 2 1
direct
0.419 0.086 0.257
0.086 0.419 0.257
0.247 0.247 0.744
0.753 0.753 0.256
0.581 0.914 0.743
0.914 0.581 0.743
0.834 0.166 0.500
0.166 0.834 0.500
0.500 0.500 0.500
0.667 0.333 0.000
0.333 0.667 0.000
0.000 0.000 0.000
```

Summary:
**Space group**: C2/m (12)
**Formation energy**: 0.024 eV per atom
**Total moment**: 0.000 μB per formula unit

=====

No. 10
The following is a DFT calculation (GGA-PBE) of a relaxed La2PrDyEr crystal.

Geometry as POSCAR:
```
La2PrDyEr
1.0
-6.235 -2.843 0.835
4.691 -10.133 0.532
-1.916 5.513 4.457
Er La Dy Pr
2 4 2 2
direct
0.250 0.914 0.828
0.750 0.086 0.172
0.500 0.249 0.000
0.000 0.249 0.000
0.500 0.751 0.000
0.000 0.751 0.000
0.750 0.752 0.505
0.250 0.248 0.495
0.750 0.398 0.796
0.250 0.602 0.204
```

Summary:
**Space group**: Cmcm (63)
**Formation energy**: 0.330 eV per atom
**Total moment**: 0.000 μB per formula unit

=====

No. 11
The following is a DFT calculation (GGA-PBE) of a relaxed La4Pr2DyEr crystal.

Geometry as POSCAR:
```
La4Pr2DyEr
1.0
-3.496 0.224 -3.922
1.394 -4.796 -1.517
-5.764 -8.835 4.633
La Dy Pr Er
4 1 2 1
direct
0.500 0.751 0.249
0.000 0.250 0.250
0.000 0.750 0.750
0.500 0.249 0.751
0.000 0.500 0.500
0.500 0.000 0.500
0.000 0.000 0.000
0.500 0.500 0.000
```

Summary:
**Space group**: P2/m (10)
**Formation energy**: 0.015 eV per atom
**Total moment**: 0.000 μB per formula unit

=====

No. 12
The following is a DFT calculation (GGA-PBE) of a relaxed La2Pr3Dy6Er crystal.

Geometry as POSCAR:
```
La2Pr3Dy6Er
1.0
-3.458 -5.090 -1.238
4.745 1.569 -3.798
6.880 -5.359 8.108
Pr Dy Er La
3 6 1 2
direct
0.500 0.500 0.500
0.833 0.167 0.500
0.167 0.833 0.500
0.415 0.083 0.249
0.585 0.917 0.751
0.249 0.249 0.750
0.083 0.415 0.249
0.751 0.751 0.250
0.917 0.585 0.751
0.000 0.000 0.000
0.666 0.334 0.000
0.334 0.666 0.000
```

Summary:
**Space group**: C2/m (12)
**Formation energy**: 0.015 eV per atom
**Total moment**: 0.000 μB per formula unit

=====

No. 13
The following is a DFT calculation (GGA-PBE) of a relaxed La3Dy6Er2Pu crystal.

Geometry as POSCAR:
```
La3Dy6Er2Pu
1.0
6.194 -0.003 -0.007
-3.098 5.363 -0.007
-1.022 -1.770 11.610
La Dy Pu Er
3 6 1 2
direct
0.167 0.833 0.500
0.833 0.167 0.500
0.500 0.500 0.500
0.249 0.249 0.758
0.081 0.410 0.242
0.410 0.081 0.242
0.590 0.919 0.758
0.919 0.590 0.758
0.751 0.751 0.242
0.000 0.000 0.000
0.333 0.667 0.000
0.667 0.333 0.000
```

Summary:
**Space group**: C2/m (12)
**Formation energy**: 0.048 eV per atom
**Total moment**: 6.722 μB per formula unit

=====

No. 14
The following is a DFT calculation (GGA-PBE) of a relaxed La2DyErS6 crystal.

Geometry as POSCAR:
```
La2DyErS6
1.0
7.125 0.000 0.000
3.562 6.170 0.000
3.562 2.057 6.156
S La Er Dy
6 2 1 1
direct
0.690 0.105 0.761
0.105 0.443 0.761
0.602 0.192 0.260
0.192 0.946 0.260
0.946 0.602 0.260
0.443 0.690 0.761
0.526 0.526 0.423
0.025 0.025 0.924
0.316 0.316 0.051
0.816 0.816 0.553
```

Summary:
**Total DFT energy (no corrections)**: -6.487 eV/atom
**Space group**: R3 (146)
**Total moment**: 0.000 μB per formula unit

=====

No. 15
The following is a DFT calculation (GGA-PBE) of a relaxed LaDy2ErS6 crystal.

Geometry as POSCAR:
```
LaDy2ErS6
1.0
-0.669 6.975 0.081
-6.284 2.929 -1.015
-3.382 3.129 5.775
S Dy La Er
6 2 1 1
direct
0.918 0.612 0.247
0.720 0.140 0.749
0.612 0.223 0.247
0.140 0.390 0.749
0.223 0.918 0.247
0.390 0.720 0.749
0.519 0.519 0.442
0.014 0.014 0.958
0.807 0.807 0.578
0.317 0.317 0.050
```

Summary:
**Total DFT energy (no corrections)**: -6.424 eV/atom
**Space group**: R3 (146)
**Total moment**: 0.000 μB per formula unit

=====

No. 16
The following is a DFT calculation (GGA-PBE) of a relaxed La3Dy3ErS8 crystal.

Geometry as POSCAR:
```
La3Dy3ErS8
1.0
-4.943 4.154 4.631
-2.269 -7.027 -2.936
5.649 0.238 5.816
S La Dy Er
8 3 3 1
direct
0.243 0.987 0.730
0.743 0.487 0.730
0.256 0.013 0.270
0.243 0.485 0.730
0.744 0.987 0.730
0.757 0.515 0.270
0.257 0.513 0.270
0.757 0.013 0.270
0.500 0.500 0.000
0.000 0.500 0.000
0.000 0.000 0.000
0.500 0.500 0.500
0.500 0.000 0.500
0.000 0.500 0.500
0.000 0.000 0.500
```

Summary:
**Total DFT energy (no corrections)**: -6.518 eV/atom
**Space group**: R-3m (166)
**Total moment**: 0.000 μB per formula unit

=====

No. 17
The following is a DFT calculation (GGA-PBE) of a relaxed LaDy2ErS4 crystal.

Geometry as POSCAR:
```
LaDy2ErS4
1.0
3.918 0.000 0.000
0.000 6.853 -0.155
0.000 2.396 6.490
Dy La Er S
2 1 1 4
direct
0.500 0.000 0.500
0.000 0.000 0.000
0.500 0.500 0.000
0.000 0.500 0.500
0.000 0.762 0.735
0.500 0.753 0.259
0.500 0.247 0.741
0.000 0.238 0.265
```

Summary:
**Total DFT energy (no corrections)**: -6.412 eV/atom
**Space group**: P2/m (10)
**Total moment**: 0.000 μB per formula unit

=====

No. 18
The following is a DFT calculation (GGA-PBE) of a relaxed La3DyEr2S6 crystal.

Geometry as POSCAR:
```
La3DyEr2S6
1.0
6.889 -0.008 -0.002
-3.450 5.963 -0.002
-1.150 -1.990 6.691
S Er La Dy
6 2 3 1
direct
0.411 0.075 0.227
0.740 0.740 0.226
0.925 0.589 0.773
0.075 0.411 0.227
0.589 0.925 0.773
0.260 0.260 0.774
0.667 0.333 0.000
0.333 0.667 0.000
0.834 0.166 0.500
0.500 0.500 0.500
0.166 0.834 0.500
0.000 0.000 0.000
```

Summary:
**Total DFT energy (no corrections)**: -6.518 eV/atom
**Space group**: C2/m (12)
**Total moment**: 0.000 μB per formula unit

=====

No. 19
The following is a DFT calculation (GGA-PBE) of a relaxed LaDy2ErSb4 crystal.

Geometry as POSCAR:
```
LaDy2ErSb4
1.0
-2.301 2.663 5.207
-5.445 -3.017 -0.864
6.003 -4.641 1.234
Er Dy Sb La
1 2 4 1
direct
0.437 0.437 0.000
0.687 0.187 0.500
0.187 0.687 0.500
0.437 0.937 0.000
0.193 0.193 0.511
0.937 0.437 0.000
0.681 0.681 0.489
0.937 0.937 0.000
```

Summary:
**Total DFT energy (no corrections)**: -5.538 eV/atom
**Space group**: I4/mmm (139)
**Total moment**: 0.000 μB per formula unit

=====

No. 20
The following is a DFT calculation (GGA-PBE) of a relaxed LaDyEr2Sb4 crystal.

Geometry as POSCAR:
```
LaDyEr2Sb4
1.0
6.264 0.342 0.000
-0.341 6.264 0.000
-2.962 -3.303 6.266
Sb Er La Dy
4 2 1 1
direct
0.937 0.437 0.000
0.192 0.192 0.510
0.437 0.937 0.000
0.682 0.682 0.490
0.687 0.187 0.500
0.187 0.687 0.500
0.937 0.937 0.000
0.437 0.437 0.000
```

Summary:
**Total DFT energy (no corrections)**: -5.519 eV/atom
**Space group**: I4/mmm (139)
**Total moment**: 0.000 μB per formula unit

=====

No. 21
The following is a DFT calculation (GGA-PBE) of a relaxed La4DyEr2Sc crystal.

Geometry as POSCAR:
```
La4DyEr2Sc
1.0
5.221 0.000 0.000
0.000 5.070 1.197
0.000 2.846 10.616
La Er Dy Sc
4 2 1 1
direct
0.000 0.755 0.745
0.500 0.745 0.255
0.000 0.245 0.255
0.500 0.255 0.745
0.500 0.000 0.500
0.000 0.000 0.000
0.500 0.500 0.000
0.000 0.500 0.500
```

Summary:
**Space group**: Pmmm (47)
**Formation energy**: 0.035 eV per atom
**Total moment**: 0.000 μB per formula unit